[1]
A plane-wave DFT calculation with GGA-PBE was carried out for a geometry-optimized GeRh2W structure.

The structure in CIF format:
```
data_GeRh2W
_cell_length_a 5.579
_cell_length_b 5.579
_cell_length_c 11.035
_cell_angle_alpha 90.00
_cell_angle_beta 90.00
_cell_angle_gamma 90.00
_space_group_name_H-M_alt 'I -4 2 d'
_space_group_IT_number 122
_space_group_name_Hall 'I -4 2bw'
loop_
_atom_site_label
_atom_site_type_symbol
_atom_site_fract_x
_atom_site_fract_y
_atom_site_fract_z
_atom_site_occupancy
Ge1 Ge 0.000 0.000 0.000 1
Rh1 Rh 0.245 0.250 0.125 1
W1 W 0.000 0.000 0.500 1
```

[2]
A plane-wave DFT calculation with GGA-PBE was carried out for a geometry-optimized GeRhW structure.

The structure in CIF format:
```
data_GeRhW
_cell_length_a 2.9397
_cell_length_b 2.9397
_cell_length_c 12.2238
_cell_angle_alpha 90.00
_cell_angle_beta 90.00
_cell_angle_gamma 120.00
_space_group_name_H-M_alt 'P -6 m 2'
_space_group_IT_number 187
_space_group_name_Hall 'P -6 2'
loop_
_atom_site_label
_atom_site_type_symbol
_atom_site_fract_x
_atom_site_fract_y
_atom_site_fract_z
_atom_site_occupancy
Ge1 Ge 0.0000 0.0000 0.1698 1
Rh1 Rh 0.3333 0.6667 0.3257 1
W1 W 0.0000 0.0000 0.5000 1
W2 W 0.3333 0.6667 0.0000 1
```

[3]
A plane-wave DFT calculation with GGA-PBE was carried out for a geometry-optimized YGeRh3 structure.

Output
The relative energy among the computed polymorphs is 0 meV/atom.

The structure in CIF format:
```
data_YGeRh3
_cell_length_a 5.446
_cell_length_b 7.568
_cell_length_c 8.535
_cell_angle_alpha 90.00
_cell_angle_beta 90.00
_cell_angle_gamma 90.00
_space_group_name_H-M_alt 'I m m a'
_space_group_IT_number 74
_space_group_name_Hall '-I 2b 2'
loop_
_atom_site_label
_atom_site_type_symbol
_atom_site_fract_x
_atom_site_fract_y
_atom_site_fract_z
_atom_site_occupancy
Y1 Y 0.000 0.250 0.006 1
Ge1 Ge 0.000 0.000 0.500 1
Rh1 Rh 0.000 0.250 0.684 1
Rh2 Rh 0.250 0.050 0.250 1
```

[4]
A plane-wave DFT calculation with GGA-PBE was carried out for a geometry-optimized YGeRh structure.

The structure in CIF format:
```
data_YGeRh
_cell_length_a 6.951
_cell_length_b 4.326
_cell_length_c 7.582
_cell_angle_alpha 90.00
_cell_angle_beta 90.00
_cell_angle_gamma 90.00
_space_group_name_H-M_alt 'P n m a'
_space_group_IT_number 62
loop_
_space_group_symop_operation_xyz
'x,y,z'
'-x,-y,-z'
'-x+1/2,-y,z+1/2'
'x+1/2,y,-z+1/2'
'x+1/2,-y+1/2,-z+1/2'
'-x+1/2,y+1/2,z+1/2'
'-x,y+1/2,-z'
'x,-y+1/2,z'
loop_
_atom_site_label
_atom_site_type_symbol
_atom_site_fract_x
_atom_site_fract_y
_atom_site_fract_z
_atom_site_occupancy
Y1 Y 0.002 0.250 0.194 1
Ge1 Ge 0.210 0.750 0.395 1
Rh1 Rh 0.157 0.250 0.568 1
```

[5]
A plane-wave DFT calculation with GGA-PBE was carried out for a geometry-optimized Y2GeRh structure.

The structure in CIF format:
```
data_Y2GeRh
_cell_length_a 4.847
_cell_length_b 4.847
_cell_length_c 3.659
_cell_angle_alpha 90.00
_cell_angle_beta 90.00
_cell_angle_gamma 90.00
_space_group_name_H-M_alt 'P 4/m m m'
_space_group_IT_number 123
_space_group_name_Hall '-P 4 2'
loop_
_atom_site_label
_atom_site_type_symbol
_atom_site_fract_x
_atom_site_fract_y
_atom_site_fract_z
_atom_site_occupancy
Y1 Y 0.000 0.500 0.000 1
Ge1 Ge 0.000 0.000 0.500 1
Rh1 Rh 0.500 0.500 0.500 1
```

[6]
A plane-wave DFT calculation with GGA-PBE was carried out for a geometry-optimized YGe3Rh structure.

The structure in CIF format:
```
data_YGe3Rh
_cell_length_a 4.821
_cell_length_b 4.821
_cell_length_c 4.821
_cell_angle_alpha 90.00
_cell_angle_beta 90.00
_cell_angle_gamma 90.00
_space_group_name_H-M_alt 'P m -3 m'
_space_group_IT_number 221
_space_group_name_Hall '-P 4 2 3'
loop_
_atom_site_label
_atom_site_type_symbol
_atom_site_fract_x
_atom_site_fract_y
_atom_site_fract_z
_atom_site_occupancy
Y1 Y 0.000 0.000 0.000 1
Ge1 Ge 0.000 0.500 0.500 1
Rh1 Rh 0.500 0.500 0.500 1
```

[7]
A plane-wave DFT calculation with GGA-PBE was carried out for a geometry-optimized YGe2Rh4 structure.

Output
The relative energy among the computed polymorphs is 0 meV/atom.

The structure in CIF format:
```
data_YGe2Rh4
_cell_length_a 11.508
_cell_length_b 4.222
_cell_length_c 9.186
_cell_angle_alpha 90.00
_cell_angle_beta 90.00
_cell_angle_gamma 90.00
_space_group_name_H-M_alt 'P n m a'
_space_group_IT_number 62
loop_
_space_group_symop_operation_xyz
'x,y,z'
'-x,-y,-z'
'-x+1/2,-y,z+1/2'
'x+1/2,y,-z+1/2'
'x+1/2,-y+1/2,-z+1/2'
'-x+1/2,y+1/2,z+1/2'
'-x,y+1/2,-z'
'x,-y+1/2,z'
loop_
_atom_site_label
_atom_site_type_symbol
_atom_site_fract_x
_atom_site_fract_y
_atom_site_fract_z
_atom_site_occupancy
Y1 Y 0.174 0.250 0.149 1
Ge1 Ge 0.059 0.750 0.382 1
Ge2 Ge 0.139 0.750 0.915 1
Rh1 Rh 0.002 0.250 0.884 1
Rh2 Rh 0.061 0.750 0.671 1
Rh3 Rh 0.155 0.250 0.497 1
Rh4 Rh 0.230 0.250 0.811 1
```

[8]
A plane-wave DFT calculation with GGA-PBE was carried out for a geometry-optimized YGe2Rh5 structure.

The structure in CIF format:
```
data_YGe2Rh5
_cell_length_a 3.844
_cell_length_b 6.951
_cell_length_c 9.952
_cell_angle_alpha 90.00
_cell_angle_beta 90.00
_cell_angle_gamma 90.00
_space_group_name_H-M_alt 'I m m m'
_space_group_IT_number 71
_space_group_name_Hall '-I 2 2'
loop_
_atom_site_label
_atom_site_type_symbol
_atom_site_fract_x
_atom_site_fract_y
_atom_site_fract_z
_atom_site_occupancy
Y1 Y 0.000 0.000 0.000 1
Ge1 Ge 0.000 0.500 0.244 1
Rh1 Rh 0.000 0.199 0.360 1
Rh2 Rh 0.000 0.500 0.000 1
```

[9]
A plane-wave DFT calculation with GGA-PBE was carried out for a geometry-optimized YGe4Rh4 structure.

The structure in CIF format:
```
data_YGe4Rh4
_cell_length_a 6.142
_cell_length_b 6.142
_cell_length_c 8.184
_cell_angle_alpha 90.00
_cell_angle_beta 90.00
_cell_angle_gamma 90.00
_space_group_name_H-M_alt 'P 42/n m c'
_space_group_IT_number 137
loop_
_space_group_symop_operation_xyz
'x,y,z'
'-x,-y,-z'
'-y+1/2,x,z+1/2'
'y+1/2,-x,-z+1/2'
'-x+1/2,-y+1/2,z'
'x+1/2,y+1/2,-z'
'y,-x+1/2,z+1/2'
'-y,x+1/2,-z+1/2'
'x+1/2,-y,-z'
'-x+1/2,y,z'
'-y,-x,-z+1/2'
'y,x,z+1/2'
'-x,y+1/2,-z'
'x,-y+1/2,z'
'y+1/2,x+1/2,-z+1/2'
'-y+1/2,-x+1/2,z+1/2'
loop_
_atom_site_label
_atom_site_type_symbol
_atom_site_fract_x
_atom_site_fract_y
_atom_site_fract_z
_atom_site_occupancy
Y1 Y 0.250 0.750 0.250 1
Ge1 Ge 0.039 0.250 0.070 1
Rh1 Rh 0.020 0.250 0.371 1
```

[10]
A plane-wave DFT calculation with GGA-PBE was carried out for a geometry-optimized Y2GeRh structure.

The structure in CIF format:
```
data_Y2GeRh
_cell_length_a 7.596
_cell_length_b 7.596
_cell_length_c 6.599
_cell_angle_alpha 90.00
_cell_angle_beta 90.00
_cell_angle_gamma 90.00
_space_group_name_H-M_alt 'I -4 2 d'
_space_group_IT_number 122
_space_group_name_Hall 'I -4 2bw'
loop_
_atom_site_label
_atom_site_type_symbol
_atom_site_fract_x
_atom_site_fract_y
_atom_site_fract_z
_atom_site_occupancy
Y1 Y 0.227 0.750 0.125 1
Ge1 Ge 0.000 0.000 0.500 1
Rh1 Rh 0.000 0.000 0.000 1
```

[11]
A plane-wave DFT calculation with GGA-PBE was carried out for a geometry-optimized YGeRh4 structure.

The structure in CIF format:
```
data_YGeRh4
_cell_length_a 7.554
_cell_length_b 3.899
_cell_length_c 6.805
_cell_angle_alpha 90.00
_cell_angle_beta 90.00
_cell_angle_gamma 90.00
_space_group_name_H-M_alt 'P m m a'
_space_group_IT_number 51
loop_
_space_group_symop_operation_xyz
'x,y,z'
'-x,-y,-z'
'-x+1/2,-y,z'
'x+1/2,y,-z'
'x+1/2,-y,-z'
'-x+1/2,y,z'
'-x,y,-z'
'x,-y,z'
loop_
_atom_site_label
_atom_site_type_symbol
_atom_site_fract_x
_atom_site_fract_y
_atom_site_fract_z
_atom_site_occupancy
Y1 Y 0.250 0.000 0.145 1
Ge1 Ge 0.250 0.000 0.723 1
Rh1 Rh 0.000 0.000 0.500 1
Rh2 Rh 0.051 0.500 0.806 1
Rh3 Rh 0.250 0.500 0.449 1
```

[12]
A plane-wave DFT calculation with GGA-PBE was carried out for a geometry-optimized Y2GeRh2 structure.

The structure in CIF format:
```
data_Y2GeRh2
_cell_length_a 7.032
_cell_length_b 7.032
_cell_length_c 4.083
_cell_angle_alpha 90.00
_cell_angle_beta 90.00
_cell_angle_gamma 90.00
_space_group_name_H-M_alt 'P 4/m b m'
_space_group_IT_number 127
_space_group_name_Hall '-P 4 2ab'
loop_
_atom_site_label
_atom_site_type_symbol
_atom_site_fract_x
_atom_site_fract_y
_atom_site_fract_z
_atom_site_occupancy
Y1 Y 0.174 0.326 0.000 1
Ge1 Ge 0.000 0.000 0.500 1
Rh1 Rh 0.137 0.637 0.500 1
```

[13]
A plane-wave DFT calculation with GGA-PBE was carried out for a geometry-optimized YGe2Rh4 structure.

Output
The relative energy among the computed polymorphs is 58 meV/atom.

The structure in CIF format:
```
data_YGe2Rh4
_cell_length_a 7.718
_cell_length_b 7.718
_cell_length_c 3.885
_cell_angle_alpha 90.00
_cell_angle_beta 90.00
_cell_angle_gamma 90.00
_space_group_name_H-M_alt 'P 42/m n m'
_space_group_IT_number 136
_space_group_name_Hall '-P 4n 2n'
loop_
_atom_site_label
_atom_site_type_symbol
_atom_site_fract_x
_atom_site_fract_y
_atom_site_fract_z
_atom_site_occupancy
Y1 Y 0.000 0.000 0.000 1
Ge1 Ge 0.227 0.227 0.500 1
Rh1 Rh 0.076 0.664 0.500 1
```

[14]
A plane-wave DFT calculation with GGA-PBE was carried out for a geometry-optimized Y3Ge2Rh structure.

The structure in CIF format:
```
data_Y3Ge2Rh
_cell_length_a 11.720
_cell_length_b 4.225
_cell_length_c 11.264
_cell_angle_alpha 90.00
_cell_angle_beta 90.00
_cell_angle_gamma 90.00
_space_group_name_H-M_alt 'P n m a'
_space_group_IT_number 62
loop_
_space_group_symop_operation_xyz
'x,y,z'
'-x,-y,-z'
'-x+1/2,-y,z+1/2'
'x+1/2,y,-z+1/2'
'x+1/2,-y+1/2,-z+1/2'
'-x+1/2,y+1/2,z+1/2'
'-x,y+1/2,-z'
'x,-y+1/2,z'
loop_
_atom_site_label
_atom_site_type_symbol
_atom_site_fract_x
_atom_site_fract_y
_atom_site_fract_z
_atom_site_occupancy
Y1 Y 0.053 0.250 0.129 1
Y2 Y 0.121 0.750 0.555 1
Y3 Y 0.224 0.250 0.800 1
Ge1 Ge 0.008 0.750 0.312 1
Ge2 Ge 0.188 0.750 0.003 1
Rh1 Rh 0.131 0.250 0.371 1
```

[15]
A plane-wave DFT calculation with GGA-PBE was carried out for a geometry-optimized Y3Ge8Rh3 structure.

The structure in CIF format:
```
data_Y3Ge8Rh3
_cell_length_a 15.993
_cell_length_b 4.432
_cell_length_c 8.604
_cell_angle_alpha 90.00
_cell_angle_beta 120.15
_cell_angle_gamma 90.00
_space_group_name_H-M_alt 'C 1 2/m 1'
_space_group_IT_number 12
loop_
_space_group_symop_operation_xyz
'x,y,z'
'-x,-y,-z'
'-x,y,-z'
'x,-y,z'
'x+1/2,y+1/2,z'
'-x+1/2,-y+1/2,-z'
'-x+1/2,y+1/2,-z'
'x+1/2,-y+1/2,z'
loop_
_atom_site_label
_atom_site_type_symbol
_atom_site_fract_x
_atom_site_fract_y
_atom_site_fract_z
_atom_site_occupancy
Y1 Y 0.000 0.000 0.000 1
Y2 Y 0.214 0.500 0.687 1
Ge1 Ge 0.017 0.500 0.693 1
Ge2 Ge 0.125 0.000 0.410 1
Ge3 Ge 0.139 0.500 0.272 1
Ge4 Ge 0.163 0.000 0.883 1
Rh1 Rh 0.000 0.000 0.500 1
Rh2 Rh 0.156 0.500 0.009 1
```

[16]
A plane-wave DFT calculation with GGA-PBE was carried out for a geometry-optimized YGe3Rh structure.

The structure in CIF format:
```
data_YGe3Rh
_cell_length_a 5.237
_cell_length_b 5.237
_cell_length_c 5.237
_cell_angle_alpha 90.00
_cell_angle_beta 90.00
_cell_angle_gamma 90.00
_space_group_name_H-M_alt 'P m -3 m'
_space_group_IT_number 221
_space_group_name_Hall '-P 4 2 3'
loop_
_atom_site_label
_atom_site_type_symbol
_atom_site_fract_x
_atom_site_fract_y
_atom_site_fract_z
_atom_site_occupancy
Y1 Y 0.000 0.000 0.000 1
Ge1 Ge 0.000 0.000 0.500 1
Rh1 Rh 0.500 0.500 0.500 1
```

[17]
A plane-wave DFT calculation with GGA-PBE was carried out for a geometry-optimized Y3Ge4Rh2 structure.

The structure in CIF format:
```
data_Y3Ge4Rh2
_cell_length_a 10.816
_cell_length_b 4.284
_cell_length_c 8.223
_cell_angle_alpha 90.00
_cell_angle_beta 108.98
_cell_angle_gamma 90.00
_space_group_name_H-M_alt 'C 1 2/m 1'
_space_group_IT_number 12
loop_
_space_group_symop_operation_xyz
'x,y,z'
'-x,-y,-z'
'-x,y,-z'
'x,-y,z'
'x+1/2,y+1/2,z'
'-x+1/2,-y+1/2,-z'
'-x+1/2,y+1/2,-z'
'x+1/2,-y+1/2,z'
loop_
_atom_site_label
_atom_site_type_symbol
_atom_site_fract_x
_atom_site_fract_y
_atom_site_fract_z
_atom_site_occupancy
Y1 Y 0.000 0.000 0.000 1
Y2 Y 0.126 0.500 0.696 1
Ge1 Ge 0.087 0.000 0.399 1
Ge2 Ge 0.210 0.500 0.074 1
Rh1 Rh 0.188 0.500 0.367 1
```

[18]
A plane-wave DFT calculation with GGA-PBE was carried out for a geometry-optimized YGeRh structure.

The structure in CIF format:
```
data_YGeRh
_cell_length_a 4.140
_cell_length_b 4.140
_cell_length_c 14.532
_cell_angle_alpha 90.00
_cell_angle_beta 90.00
_cell_angle_gamma 90.00
_space_group_name_H-M_alt 'I 41 m d'
_space_group_IT_number 109
_space_group_name_Hall 'I 4bw -2'
loop_
_atom_site_label
_atom_site_type_symbol
_atom_site_fract_x
_atom_site_fract_y
_atom_site_fract_z
_atom_site_occupancy
Y1 Y 0.000 0.000 0.000 1
Ge1 Ge 0.000 0.000 0.582 1
Rh1 Rh 0.000 0.000 0.416 1
```

[19]
A plane-wave DFT calculation with GGA-PBE was carried out for a geometry-optimized Y3Ge5Rh6 structure.

The structure in CIF format:
```
data_Y3Ge5Rh6
_cell_length_a 4.073
_cell_length_b 12.715
_cell_length_c 9.659
_cell_angle_alpha 90.00
_cell_angle_beta 90.00
_cell_angle_gamma 90.00
_space_group_name_H-M_alt 'P m m n'
_space_group_IT_number 59
loop_
_space_group_symop_operation_xyz
'x,y,z'
'-x,-y,-z'
'-x+1/2,-y+1/2,z'
'x+1/2,y+1/2,-z'
'x+1/2,-y,-z'
'-x+1/2,y,z'
'-x,y+1/2,-z'
'x,-y+1/2,z'
loop_
_atom_site_label
_atom_site_type_symbol
_atom_site_fract_x
_atom_site_fract_y
_atom_site_fract_z
_atom_site_occupancy
Y1 Y 0.250 0.083 0.250 1
Y2 Y 0.250 0.750 0.245 1
Ge1 Ge 0.250 0.081 0.649 1
Ge2 Ge 0.250 0.631 0.981 1
Ge3 Ge 0.250 0.750 0.636 1
Rh1 Rh 0.250 0.050 0.903 1
Rh2 Rh 0.250 0.250 0.015 1
Rh3 Rh 0.250 0.250 0.512 1
Rh4 Rh 0.250 0.583 0.497 1
```

[20]
A plane-wave DFT calculation with GGA-PBE was carried out for a geometry-optimized Y2Ge3Rh5 structure.

The structure in CIF format:
```
data_Y2Ge3Rh5
_cell_length_a 4.134
_cell_length_b 24.586
_cell_length_c 6.681
_cell_angle_alpha 90.00
_cell_angle_beta 90.00
_cell_angle_gamma 90.00
_space_group_name_H-M_alt 'C m c 21'
_space_group_IT_number 36
loop_
_space_group_symop_operation_xyz
'x,y,z'
'-x,-y,z+1/2'
'-x,y,z'
'x,-y,z+1/2'
'x+1/2,y+1/2,z'
'-x+1/2,-y+1/2,z+1/2'
'-x+1/2,y+1/2,z'
'x+1/2,-y+1/2,z+1/2'
loop_
_atom_site_label
_atom_site_type_symbol
_atom_site_fract_x
_atom_site_fract_y
_atom_site_fract_z
_atom_site_occupancy
Y1 Y 0.000 0.019 0.000 1
Y2 Y 0.000 0.325 0.010 1
Ge1 Ge 0.000 0.112 0.750 1
Ge2 Ge 0.000 0.271 0.520 1
Ge3 Ge 0.000 0.452 0.789 1
Rh1 Rh 0.000 0.100 0.352 1
Rh2 Rh 0.000 0.207 0.228 1
Rh3 Rh 0.000 0.209 0.816 1
Rh4 Rh 0.000 0.371 0.531 1
Rh5 Rh 0.000 0.443 0.163 1
```

ΔH_f (0 K) values, unit eV/atom, following the record order: 0.5588 -0.0165 -0.6010 -0.9905 -0.7661 -0.0589 -0.7615 -0.5733 -0.5877 -0.3797 -0.4773 -0.7359 -0.7031 -0.9042 -0.5951 1.2490 -0.8984 -0.8718 -0.8939 -0.7802.
Volume values, unit Å³/cell, following the record order: 343.4 91.5 351.7 228.0 86.0 112.0 446.3 265.9 308.7 380.7 200.4 201.9 231.4 557.8 527.4 143.6 360.3 249.1 500.2 679.0.
Theoretical density values, unit g/cm³, following the record order: 8.94 13.05 8.88 7.70 6.83 6.07 9.61 9.35 8.51 6.16 9.50 7.51 9.27 6.13 7.28 4.74 7.03 7.05 8.28 8.90.